(1)
# Ca2OsSe PBE relaxed
data_Ca2OsSe
_chemical_formula_sum 'Ca6 Os3 Se3'
_symmetry_space_group_name_H-M 'P 1'
_symmetry_Int_Tables_number 1
_symmetry_space_group_name_Hall 'P 1'
_cell_length_a 3.658
_cell_length_b 3.658
_cell_length_c 24.358
_cell_angle_alpha 90.00
_cell_angle_beta 90.00
_cell_angle_gamma 120.00
loop_
_atom_site_label
_atom_site_type_symbol
_atom_site_fract_x
_atom_site_fract_y
_atom_site_fract_z
Ca1 Ca 0.000 0.000 0.246
Ca2 Ca 0.000 0.000 0.754
Ca3 Ca 0.333 0.667 0.421
Ca4 Ca 0.333 0.667 0.913
Ca5 Ca 0.667 0.333 0.087
Ca6 Ca 0.667 0.333 0.579
Os1 Os 0.000 0.000 0.000
Os2 Os 0.333 0.667 0.667
Os3 Os 0.667 0.333 0.333
Se1 Se 0.000 0.000 0.500
Se2 Se 0.333 0.667 0.167
Se3 Se 0.667 0.333 0.833
# energy: -58.01 eV per cell
# magnetic moment: 0.00 μB/f.u.
# theoretical density: 6.2 g/cm3
# D(E_F): 5.48 states/eV/cell



(2)
# CaOsSe3 PBE relaxed
data_CaOsSe3
_chemical_formula_sum 'Ca1 Os1 Se3'
_symmetry_space_group_name_H-M 'P 1'
_symmetry_Int_Tables_number 1
_symmetry_space_group_name_Hall 'P 1'
_cell_length_a 4.989
_cell_length_b 4.989
_cell_length_c 4.989
_cell_angle_alpha 90.00
_cell_angle_beta 90.00
_cell_angle_gamma 90.00
loop_
_atom_site_label
_atom_site_type_symbol
_atom_site_fract_x
_atom_site_fract_y
_atom_site_fract_z
Ca1 Ca 0.000 0.000 0.000
Os1 Os 0.500 0.500 0.500
Se1 Se 0.000 0.500 0.500
Se2 Se 0.500 0.000 0.500
Se3 Se 0.500 0.500 0.000
# energy: -24.51 eV per cell
# magnetic moment: 2.31 μB/f.u.
# theoretical density: 6.2 g/cm3
# D(E_F): 4.27 states/eV/cell



(3)
# CaOsSe PBE relaxed
data_CaOsSe
_chemical_formula_sum 'Ca1 Os1 Se1'
_symmetry_space_group_name_H-M 'P 1'
_symmetry_Int_Tables_number 1
_symmetry_space_group_name_Hall 'P 1'
_cell_length_a 4.164
_cell_length_b 4.164
_cell_length_c 4.335
_cell_angle_alpha 90.00
_cell_angle_beta 90.00
_cell_angle_gamma 120.00
loop_
_atom_site_label
_atom_site_type_symbol
_atom_site_fract_x
_atom_site_fract_y
_atom_site_fract_z
Ca1 Ca 0.000 0.000 0.000
Os1 Os 0.667 0.333 0.500
Se1 Se 0.333 0.667 0.500
# energy: -17.18 eV per cell
# magnetic moment: 0.00 μB/f.u.
# theoretical density: 7.9 g/cm3
# D(E_F): 2.62 states/eV/cell



(4)
# Ca2OsSe PBE relaxed
data_Ca2OsSe
_chemical_formula_sum 'Ca4 Os2 Se2'
_symmetry_space_group_name_H-M 'P 1'
_symmetry_Int_Tables_number 1
_symmetry_space_group_name_Hall 'P 1'
_cell_length_a 6.406
_cell_length_b 7.633
_cell_length_c 3.522
_cell_angle_alpha 90.00
_cell_angle_beta 90.00
_cell_angle_gamma 90.00
loop_
_atom_site_label
_atom_site_type_symbol
_atom_site_fract_x
_atom_site_fract_y
_atom_site_fract_z
Ca1 Ca 0.250 0.250 0.000
Ca2 Ca 0.250 0.750 0.000
Ca3 Ca 0.750 0.250 0.000
Ca4 Ca 0.750 0.750 0.000
Os1 Os 0.000 0.000 0.500
Os2 Os 0.500 0.500 0.500
Se1 Se 0.000 0.500 0.500
Se2 Se 0.500 0.000 0.500
# energy: -38.93 eV per cell
# magnetic moment: 0.54 μB/f.u.
# theoretical density: 6.7 g/cm3
# D(E_F): 7.20 states/eV/cell



(5)
# CaOs4Se PBE relaxed
data_CaOs4Se
_chemical_formula_sum 'Ca1 Os4 Se1'
_symmetry_space_group_name_H-M 'P 1'
_symmetry_Int_Tables_number 1
_symmetry_space_group_name_Hall 'P 1'
_cell_length_a 5.295
_cell_length_b 5.295
_cell_length_c 5.295
_cell_angle_alpha 60.00
_cell_angle_beta 60.00
_cell_angle_gamma 60.00
loop_
_atom_site_label
_atom_site_type_symbol
_atom_site_fract_x
_atom_site_fract_y
_atom_site_fract_z
Ca1 Ca 0.000 0.000 0.000
Os1 Os 0.126 0.625 0.625
Os2 Os 0.625 0.126 0.625
Os3 Os 0.625 0.625 0.126
Os4 Os 0.625 0.625 0.625
Se1 Se 0.250 0.250 0.250
# energy: -46.27 eV per cell
# magnetic moment: 0.00 μB/f.u.
# theoretical density: 13.9 g/cm3
# D(E_F): 9.42 states/eV/cell



(6)
# Ca2OsSe PBE relaxed
data_Ca2OsSe
_chemical_formula_sum 'Ca8 Os4 Se4'
_symmetry_space_group_name_H-M 'P 1'
_symmetry_Int_Tables_number 1
_symmetry_space_group_name_Hall 'P 1'
_cell_length_a 6.877
_cell_length_b 6.877
_cell_length_c 6.877
_cell_angle_alpha 90.00
_cell_angle_beta 90.00
_cell_angle_gamma 90.00
loop_
_atom_site_label
_atom_site_type_symbol
_atom_site_fract_x
_atom_site_fract_y
_atom_site_fract_z
Ca1 Ca 0.000 0.000 0.000
Ca2 Ca 0.000 0.500 0.500
Ca3 Ca 0.250 0.250 0.250
Ca4 Ca 0.250 0.750 0.750
Ca5 Ca 0.500 0.000 0.500
Ca6 Ca 0.500 0.500 0.000
Ca7 Ca 0.750 0.250 0.750
Ca8 Ca 0.750 0.750 0.250
Os1 Os 0.000 0.000 0.500
Os2 Os 0.000 0.500 0.000
Os3 Os 0.500 0.000 0.000
Os4 Os 0.500 0.500 0.500
Se1 Se 0.250 0.250 0.750
Se2 Se 0.250 0.750 0.250
Se3 Se 0.750 0.250 0.250
Se4 Se 0.750 0.750 0.750
# energy: -71.97 eV per cell
# magnetic moment: 0.00 μB/f.u.
# theoretical density: 7.1 g/cm3
# D(E_F): 9.53 states/eV/cell



(7)
# Ca4OsSe PBE relaxed
data_Ca4OsSe
_chemical_formula_sum 'Ca4 Os1 Se1'
_symmetry_space_group_name_H-M 'P 1'
_symmetry_Int_Tables_number 1
_symmetry_space_group_name_Hall 'P 1'
_cell_length_a 6.038
_cell_length_b 6.038
_cell_length_c 6.038
_cell_angle_alpha 60.00
_cell_angle_beta 60.00
_cell_angle_gamma 60.00
loop_
_atom_site_label
_atom_site_type_symbol
_atom_site_fract_x
_atom_site_fract_y
_atom_site_fract_z
Ca1 Ca 0.124 0.124 0.124
Ca2 Ca 0.124 0.124 0.628
Ca3 Ca 0.124 0.628 0.124
Ca4 Ca 0.628 0.124 0.124
Os1 Os 0.750 0.750 0.750
Se1 Se 0.500 0.500 0.500
# energy: -18.62 eV per cell
# magnetic moment: 0.00 μB/f.u.
# theoretical density: 4.6 g/cm3
# D(E_F): 1.09 states/eV/cell



(8)
# CaOsSe3 PBE relaxed
data_CaOsSe3
_chemical_formula_sum 'Ca1 Os1 Se3'
_symmetry_space_group_name_H-M 'P 1'
_symmetry_Int_Tables_number 1
_symmetry_space_group_name_Hall 'P 1'
_cell_length_a 5.322
_cell_length_b 5.322
_cell_length_c 5.322
_cell_angle_alpha 90.00
_cell_angle_beta 90.00
_cell_angle_gamma 90.00
loop_
_atom_site_label
_atom_site_type_symbol
_atom_site_fract_x
_atom_site_fract_y
_atom_site_fract_z
Ca1 Ca 0.000 0.000 0.000
Os1 Os 0.500 0.500 0.500
Se1 Se 0.000 0.000 0.500
Se2 Se 0.000 0.500 0.000
Se3 Se 0.500 0.000 0.000
# energy: -17.38 eV per cell
# magnetic moment: 3.12 μB/f.u.
# theoretical density: 5.1 g/cm3
# D(E_F): 12.12 states/eV/cell



(9)
# CaOsSe PBE relaxed
data_CaOsSe
_chemical_formula_sum 'Ca4 Os4 Se4'
_symmetry_space_group_name_H-M 'P 1'
_symmetry_Int_Tables_number 1
_symmetry_space_group_name_Hall 'P 1'
_cell_length_a 6.553
_cell_length_b 6.553
_cell_length_c 6.553
_cell_angle_alpha 90.00
_cell_angle_beta 90.00
_cell_angle_gamma 90.00
loop_
_atom_site_label
_atom_site_type_symbol
_atom_site_fract_x
_atom_site_fract_y
_atom_site_fract_z
Ca1 Ca 0.000 0.000 0.000
Ca2 Ca 0.000 0.500 0.500
Ca3 Ca 0.500 0.000 0.500
Ca4 Ca 0.500 0.500 0.000
Os1 Os 0.250 0.250 0.250
Os2 Os 0.250 0.750 0.750
Os3 Os 0.750 0.250 0.750
Os4 Os 0.750 0.750 0.250
Se1 Se 0.250 0.250 0.750
Se2 Se 0.250 0.750 0.250
Se3 Se 0.750 0.250 0.250
Se4 Se 0.750 0.750 0.750
# energy: -54.82 eV per cell
# magnetic moment: 0.61 μB/f.u.
# theoretical density: 7.3 g/cm3
# D(E_F): 17.98 states/eV/cell



(10)
# CaSi2OsSe PBE relaxed
data_CaSi2OsSe
_chemical_formula_sum 'Ca1 Si2 Os1 Se1'
_symmetry_space_group_name_H-M 'P 1'
_symmetry_Int_Tables_number 1
_symmetry_space_group_name_Hall 'P 1'
_cell_length_a 5.011
_cell_length_b 5.011
_cell_length_c 5.004
_cell_angle_alpha 90.00
_cell_angle_beta 90.00
_cell_angle_gamma 90.00
loop_
_atom_site_label
_atom_site_type_symbol
_atom_site_fract_x
_atom_site_fract_y
_atom_site_fract_z
Ca1 Ca 0.000 0.000 0.000
Si1 Si 0.000 0.500 0.000
Si2 Si 0.500 0.000 0.000
Os1 Os 0.500 0.500 0.500
Se1 Se 0.000 0.000 0.500
# energy: -16.95 eV per cell
# magnetic moment: 0.00 μB/f.u.
# theoretical density: 4.8 g/cm3
# D(E_F): 6.29 states/eV/cell



(11)
# Ca2SnOsSe PBE relaxed
data_Ca2SnOsSe
_chemical_formula_sum 'Ca2 Sn1 Os1 Se1'
_symmetry_space_group_name_H-M 'P 1'
_symmetry_Int_Tables_number 1
_symmetry_space_group_name_Hall 'P 1'
_cell_length_a 5.265
_cell_length_b 5.265
_cell_length_c 5.447
_cell_angle_alpha 90.00
_cell_angle_beta 90.00
_cell_angle_gamma 90.00
loop_
_atom_site_label
_atom_site_type_symbol
_atom_site_fract_x
_atom_site_fract_y
_atom_site_fract_z
Ca1 Ca 0.000 0.500 0.000
Ca2 Ca 0.500 0.000 0.000
Sn1 Sn 0.000 0.000 0.500
Os1 Os 0.500 0.500 0.500
Se1 Se 0.000 0.000 0.000
# energy: -20.15 eV per cell
# magnetic moment: 1.54 μB/f.u.
# theoretical density: 5.1 g/cm3
# D(E_F): 3.79 states/eV/cell



(12)
# CaTc2OsSe PBE relaxed
data_CaTc2OsSe
_chemical_formula_sum 'Ca1 Tc2 Os1 Se1'
_symmetry_space_group_name_H-M 'P 1'
_symmetry_Int_Tables_number 1
_symmetry_space_group_name_Hall 'P 1'
_cell_length_a 4.691
_cell_length_b 4.691
_cell_length_c 4.793
_cell_angle_alpha 90.00
_cell_angle_beta 90.00
_cell_angle_gamma 90.00
loop_
_atom_site_label
_atom_site_type_symbol
_atom_site_fract_x
_atom_site_fract_y
_atom_site_fract_z
Ca1 Ca 0.000 0.000 0.000
Tc1 Tc 0.000 0.500 0.000
Tc2 Tc 0.500 0.000 0.000
Os1 Os 0.000 0.000 0.500
Se1 Se 0.500 0.500 0.500
# energy: -23.36 eV per cell
# magnetic moment: 2.75 μB/f.u.
# theoretical density: 8.0 g/cm3
# D(E_F): 6.87 states/eV/cell



(13)
# CaTe2OsSe PBE relaxed
data_CaTe2OsSe
_chemical_formula_sum 'Ca1 Te2 Os1 Se1'
_symmetry_space_group_name_H-M 'P 1'
_symmetry_Int_Tables_number 1
_symmetry_space_group_name_Hall 'P 1'
_cell_length_a 4.997
_cell_length_b 4.997
_cell_length_c 5.970
_cell_angle_alpha 90.00
_cell_angle_beta 90.00
_cell_angle_gamma 90.00
loop_
_atom_site_label
_atom_site_type_symbol
_atom_site_fract_x
_atom_site_fract_y
_atom_site_fract_z
Ca1 Ca 0.000 0.000 0.000
Te1 Te 0.000 0.500 0.500
Te2 Te 0.500 0.000 0.500
Os1 Os 0.000 0.000 0.500
Se1 Se 0.500 0.500 0.000
# energy: -22.43 eV per cell
# magnetic moment: 0.00 μB/f.u.
# theoretical density: 6.3 g/cm3
# D(E_F): 4.28 states/eV/cell



(14)
# Ca2SiOs PBE relaxed
data_Ca2SiOs
_chemical_formula_sum 'Ca4 Si2 Os2'
_symmetry_space_group_name_H-M 'P 1'
_symmetry_Int_Tables_number 1
_symmetry_space_group_name_Hall 'P 1'
_cell_length_a 4.333
_cell_length_b 4.333
_cell_length_c 8.512
_cell_angle_alpha 90.00
_cell_angle_beta 90.00
_cell_angle_gamma 90.00
loop_
_atom_site_label
_atom_site_type_symbol
_atom_site_fract_x
_atom_site_fract_y
_atom_site_fract_z
Ca1 Ca 0.000 0.500 0.250
Ca2 Ca 0.000 0.500 0.750
Ca3 Ca 0.500 0.000 0.250
Ca4 Ca 0.500 0.000 0.750
Si1 Si 0.000 0.000 0.000
Si2 Si 0.500 0.500 0.500
Os1 Os 0.000 0.000 0.500
Os2 Os 0.500 0.500 0.000
# energy: -39.01 eV per cell
# magnetic moment: 0.00 μB/f.u.
# theoretical density: 6.2 g/cm3
# D(E_F): 8.75 states/eV/cell



(15)
# Ca2SiOs PBE relaxed
data_Ca2SiOs
_chemical_formula_sum 'Ca2 Si1 Os1'
_symmetry_space_group_name_H-M 'P 1'
_symmetry_Int_Tables_number 1
_symmetry_space_group_name_Hall 'P 1'
_cell_length_a 3.242
_cell_length_b 3.242
_cell_length_c 8.567
_cell_angle_alpha 90.00
_cell_angle_beta 90.00
_cell_angle_gamma 90.00
loop_
_atom_site_label
_atom_site_type_symbol
_atom_site_fract_x
_atom_site_fract_y
_atom_site_fract_z
Ca1 Ca 0.000 0.000 0.000
Ca2 Ca 0.500 0.500 0.398
Si1 Si 0.500 0.500 0.758
Os1 Os 0.000 0.000 0.641
# energy: -21.34 eV per cell
# magnetic moment: 0.00 μB/f.u.
# theoretical density: 5.5 g/cm3
# D(E_F): 2.72 states/eV/cell



(16)
# CaSiOs3 PBE relaxed
data_CaSiOs3
_chemical_formula_sum 'Ca1 Si1 Os3'
_symmetry_space_group_name_H-M 'P 1'
_symmetry_Int_Tables_number 1
_symmetry_space_group_name_Hall 'P 1'
_cell_length_a 4.494
_cell_length_b 4.494
_cell_length_c 4.494
_cell_angle_alpha 90.00
_cell_angle_beta 90.00
_cell_angle_gamma 90.00
loop_
_atom_site_label
_atom_site_type_symbol
_atom_site_fract_x
_atom_site_fract_y
_atom_site_fract_z
Ca1 Ca 0.000 0.000 0.000
Si1 Si 0.500 0.500 0.500
Os1 Os 0.000 0.500 0.500
Os2 Os 0.500 0.000 0.500
Os3 Os 0.500 0.500 0.000
# energy: -37.48 eV per cell
# magnetic moment: 1.12 μB/f.u.
# theoretical density: 11.7 g/cm3
# D(E_F): 4.97 states/eV/cell



(17)
# Ca4SiOs PBE relaxed
data_Ca4SiOs
_chemical_formula_sum 'Ca4 Si1 Os1'
_symmetry_space_group_name_H-M 'P 1'
_symmetry_Int_Tables_number 1
_symmetry_space_group_name_Hall 'P 1'
_cell_length_a 5.899
_cell_length_b 5.899
_cell_length_c 5.899
_cell_angle_alpha 60.00
_cell_angle_beta 60.00
_cell_angle_gamma 60.00
loop_
_atom_site_label
_atom_site_type_symbol
_atom_site_fract_x
_atom_site_fract_y
_atom_site_fract_z
Ca1 Ca 0.124 0.124 0.124
Ca2 Ca 0.124 0.124 0.628
Ca3 Ca 0.124 0.628 0.124
Ca4 Ca 0.628 0.124 0.124
Si1 Si 0.500 0.500 0.500
Os1 Os 0.750 0.750 0.750
# energy: -18.63 eV per cell
# magnetic moment: 0.00 μB/f.u.
# theoretical density: 4.3 g/cm3
# D(E_F): 4.09 states/eV/cell



(18)
# CaSiOs3 PBE relaxed
data_CaSiOs3
_chemical_formula_sum 'Ca1 Si1 Os3'
_symmetry_space_group_name_H-M 'P 1'
_symmetry_Int_Tables_number 1
_symmetry_space_group_name_Hall 'P 1'
_cell_length_a 4.661
_cell_length_b 4.661
_cell_length_c 4.661
_cell_angle_alpha 90.00
_cell_angle_beta 90.00
_cell_angle_gamma 90.00
loop_
_atom_site_label
_atom_site_type_symbol
_atom_site_fract_x
_atom_site_fract_y
_atom_site_fract_z
Ca1 Ca 0.000 0.000 0.000
Si1 Si 0.500 0.500 0.500
Os1 Os 0.000 0.000 0.500
Os2 Os 0.000 0.500 0.000
Os3 Os 0.500 0.000 0.000
# energy: -24.69 eV per cell
# magnetic moment: 2.16 μB/f.u.
# theoretical density: 10.5 g/cm3
# D(E_F): 8.46 states/eV/cell



(19)
# Ca2SiOs PBE relaxed
data_Ca2SiOs
_chemical_formula_sum 'Ca4 Si2 Os2'
_symmetry_space_group_name_H-M 'P 1'
_symmetry_Int_Tables_number 1
_symmetry_space_group_name_Hall 'P 1'
_cell_length_a 3.867
_cell_length_b 4.917
_cell_length_c 9.628
_cell_angle_alpha 90.00
_cell_angle_beta 90.00
_cell_angle_gamma 90.00
loop_
_atom_site_label
_atom_site_type_symbol
_atom_site_fract_x
_atom_site_fract_y
_atom_site_fract_z
Ca1 Ca 0.000 0.000 0.000
Ca2 Ca 0.000 0.500 0.209
Ca3 Ca 0.500 0.000 0.709
Ca4 Ca 0.500 0.500 0.500
Si1 Si 0.000 0.000 0.432
Si2 Si 0.500 0.500 0.932
Os1 Os 0.000 0.500 0.804
Os2 Os 0.500 0.000 0.304
# energy: -42.07 eV per cell
# magnetic moment: 0.00 μB/f.u.
# theoretical density: 5.4 g/cm3
# D(E_F): 5.97 states/eV/cell



(20)
# CaSi2Os2 PBE relaxed
data_CaSi2Os2
_chemical_formula_sum 'Ca1 Si2 Os2'
_symmetry_space_group_name_H-M 'P 1'
_symmetry_Int_Tables_number 1
_symmetry_space_group_name_Hall 'P 1'
_cell_length_a 4.079
_cell_length_b 4.079
_cell_length_c 5.117
_cell_angle_alpha 90.00
_cell_angle_beta 90.00
_cell_angle_gamma 90.00
loop_
_atom_site_label
_atom_site_type_symbol
_atom_site_fract_x
_atom_site_fract_y
_atom_site_fract_z
Ca1 Ca 0.000 0.000 0.000
Si1 Si 0.500 0.500 0.237
Si2 Si 0.500 0.500 0.763
Os1 Os 0.000 0.500 0.500
Os2 Os 0.500 0.000 0.500
# energy: -36.80 eV per cell
# magnetic moment: 0.00 μB/f.u.
# theoretical density: 9.3 g/cm3
# D(E_F): 4.19 states/eV/cell